Entry 1:
Density functional theory data (GGA-PBE) for NdMnSb3 after structural relaxation.

Computed properties:
Volume = 25.0 Å³/atom
E_tot = -5.77 eV per atom
Uncorrected formation energy = -49.3 kJ/mol of atoms

Lattice parameters (Å, degrees): 13.092 6.266 6.083 90.00 90.00 90.00
Atoms (fractional coordinates):
1 Nd 0.191 0.004 0.250
2 Nd 0.191 0.496 0.750
3 Nd 0.809 0.504 0.250
4 Nd 0.809 0.996 0.750
5 Mn 0.408 0.750 0.000
6 Mn 0.408 0.750 0.500
7 Mn 0.592 0.250 0.000
8 Mn 0.592 0.250 0.500
9 Sb 0.002 0.750 0.000
10 Sb 0.002 0.750 0.500
11 Sb 0.279 0.503 0.250
12 Sb 0.279 0.997 0.750
13 Sb 0.437 0.103 0.250
14 Sb 0.437 0.397 0.750
15 Sb 0.563 0.603 0.250
16 Sb 0.563 0.897 0.750
17 Sb 0.721 0.003 0.250
18 Sb 0.721 0.497 0.750
19 Sb 0.998 0.250 0.000
20 Sb 0.998 0.250 0.500


Entry 2:
Density functional theory data (GGA-PBE) for CdCoAg2 after structural relaxation.

Computed properties:
Volume = 16.9 Å³/atom
E_tot = -3.11 eV per atom
E_form = 320 meV/atom

Lattice parameters (Å, degrees): 4.576 4.576 4.576 60.00 60.00 60.00
Atoms (fractional coordinates):
1 Cd 0.000 0.000 0.000
2 Co 0.250 0.250 0.250
3 Ag 0.500 0.500 0.500
4 Ag 0.750 0.750 0.750


Entry 3:
Density functional theory data (GGA-PBE) for IrS2NCl after structural relaxation.

Computed properties:
E above lowest polymorph = 889.2 meV per atom
Volume = 19.9 Å³/atom
E_tot = -3.81 eV per atom
Uncorrected formation energy = 158.7 kJ/mol of atoms

Lattice parameters (Å, degrees): 4.571 4.571 4.774 90.00 90.00 90.00
Atoms (fractional coordinates):
1 Ir 0.000 0.000 0.000
2 S 0.000 0.500 0.000
3 S 0.500 0.000 0.000
4 N 0.500 0.500 0.500
5 Cl 0.000 0.000 0.500